Record 1
Here is CsDyZnCl6 after structural relaxation from Alexandria via LeMat-Bulk. Energies are from PBE.

Values from the calculation:
uncorrected formation energy = -1604.8 kJ/mol of formula units
volume = 308.93 Å³ per cell
mass density = 3.1 g/cm3

a = 6.7671 Å, b = 6.7671 Å, c = 7.7891 Å
α = 90.00°, β = 90.00°, γ = 120.00°
Space group P312 (No. 149)
Unique sites:
Cs (0.0000, 0.0000, 0.0000)
Dy (0.6667, 0.3333, 0.5000)
Zn (0.3333, 0.6667, 0.5000)
Cl (0.0164, 0.3880, 0.6899)

=====

Record 2
Here is CsDyZn2Cl8 after structural relaxation from Alexandria via LeMat-Bulk. Energies are from PBE.

Values from the calculation:
uncorrected formation energy = -1935.8 kJ/mol of formula units
volume = 1128.77 Å³ per cell
mass density = 3.1 g/cm3

a = 6.5304 Å, b = 6.5304 Å, c = 30.5629 Å
α = 90.00°, β = 90.00°, γ = 120.00°
Space group R-3 (No. 148, hexagonal axes)
Unique sites:
Cs (0.0000, 0.0000, 0.0000)
Dy (0.0000, 0.0000, 0.5000)
Zn (0.0000, 0.0000, 0.2441)
Cl (0.0000, 0.0000, 0.3165)
Cl (0.0006, 0.3306, 0.4490)

=====

Record 3
Here is CsErCl4 after structural relaxation from Alexandria via LeMat-Bulk. Energies are from PBE.

Values from the calculation:
uncorrected formation energy = -1275.5 kJ/mol of formula units
volume = 821.25 Å³ per cell
mass density = 3.6 g/cm3

a = 17.112 Å, b = 6.798 Å, c = 7.401 Å
α = 90.00°, β = 107.47°, γ = 90.00°
Space group C2/c (No. 15)
Unique sites:
Cs (0.000, 0.208, 0.250)
Er (0.250, 0.250, 0.000)
Cl (0.100, 0.355, 0.927)
Cl (0.207, 0.066, 0.665)

=====

Record 4
Here is Cs2ErCl5 after structural relaxation from Alexandria via LeMat-Bulk. Energies are from PBE.

Values from the calculation:
uncorrected formation energy = -1703.3 kJ/mol of formula units
volume = 1138.86 Å³ per cell
mass density = 3.6 g/cm3

a = 9.777 Å, b = 7.533 Å, c = 15.464 Å
α = 90.00°, β = 90.00°, γ = 90.00°
Space group Pnma (No. 62)
Unique sites:
Cs (0.027, 0.250, 0.212)
Cs (0.163, 0.750, 0.415)
Er (0.177, 0.750, 0.063)
Cl (0.000, 0.000, 0.000)
Cl (0.023, 0.750, 0.199)
Cl (0.168, 0.501, 0.616)
Cl (0.217, 0.250, 0.407)

=====

Record 5
Here is Cs3ErCl6 after structural relaxation from Alexandria via LeMat-Bulk. Energies are from PBE.

Values from the calculation:
uncorrected formation energy = -2103.0 kJ/mol of formula units
volume = 2987.79 Å³ per cell
mass density = 3.5 g/cm3

a = 27.032 Å, b = 8.347 Å, c = 13.451 Å
α = 90.00°, β = 100.10°, γ = 90.00°
Space group C2/c (No. 15)
Unique sites:
Cs (0.052, 0.233, 0.440)
Cs (0.152, 0.316, 0.146)
Cs (0.165, 0.191, 0.805)
Er (0.000, 0.212, 0.750)
Er (0.250, 0.250, 0.500)
Cl (0.056, 0.213, 0.930)
Cl (0.056, 0.429, 0.683)
Cl (0.057, 0.020, 0.197)
Cl (0.173, 0.435, 0.424)
Cl (0.184, 0.037, 0.536)
Cl (0.250, 0.119, 0.321)

=====

Record 6
Here is Cs3ErCl6 after structural relaxation from Alexandria via LeMat-Bulk. Energies are from PBE.

Values from the calculation:
uncorrected formation energy = -2057.3 kJ/mol of formula units
volume = 1646.24 Å³ per cell
mass density = 3.1 g/cm3

a = 11.808 Å, b = 11.808 Å, c = 11.808 Å
α = 90.00°, β = 90.00°, γ = 90.00°
Space group Fm-3m (No. 225)
Unique sites:
Cs (0.000, 0.000, 0.000)
Cs (0.250, 0.250, 0.250)
Er (0.000, 0.000, 0.500)
Cl (0.000, 0.000, 0.278)

=====

Record 7
Here is CsErCl4 after structural relaxation from Alexandria via LeMat-Bulk. Energies are from PBE.

Values from the calculation:
uncorrected formation energy = -1286.1 kJ/mol of formula units
volume = 927.93 Å³ per cell
mass density = 3.2 g/cm3

a = 10.385 Å, b = 15.871 Å, c = 6.727 Å
α = 90.00°, β = 123.19°, γ = 90.00°
Space group C2/c (No. 15)
Unique sites:
Cs (0.000, 0.162, 0.250)
Er (0.000, 0.425, 0.750)
Cl (0.160, 0.313, 0.711)
Cl (0.178, 0.455, 0.212)

=====

Record 8
Here is Cs3ErCl6 after structural relaxation from Alexandria via LeMat-Bulk. Energies are from PBE.

Values from the calculation:
uncorrected formation energy = -2093.6 kJ/mol of formula units
volume = 791.06 Å³ per cell
mass density = 3.3 g/cm3

a = 8.086 Å, b = 8.476 Å, c = 14.067 Å
α = 90.00°, β = 124.86°, γ = 90.00°
Space group P2_1/c (No. 14)
Unique sites:
Cs (0.000, 0.000, 0.000)
Cs (0.225, 0.062, 0.747)
Er (0.500, 0.000, 0.500)
Cl (0.192, 0.173, 0.454)
Cl (0.272, 0.744, 0.436)
Cl (0.391, 0.044, 0.286)

=====

Record 9
Here is CsErClF3 after structural relaxation from Alexandria via LeMat-Bulk. Energies are from PBE.

Values from the calculation:
uncorrected formation energy = -1921.3 kJ/mol of formula units
volume = 596.42 Å³ per cell
mass density = 4.4 g/cm3

a = 5.377 Å, b = 15.798 Å, c = 7.024 Å
α = 90.00°, β = 91.35°, γ = 90.00°
Space group C2/c (No. 15)
Unique sites:
Cs (0.000, 0.235, 0.250)
Er (0.000, 0.041, 0.750)
Cl (0.000, 0.456, 0.250)
F (0.000, 0.178, 0.750)
F (0.023, 0.073, 0.060)

=====

Record 10
Here is Cs2ErGaCl6 after structural relaxation from Alexandria via LeMat-Bulk. Energies are from PBE.

Values from the calculation:
uncorrected formation energy = -1843.0 kJ/mol of formula units
volume = 1381.79 Å³ per cell
mass density = 3.4 g/cm3

a = 11.138 Å, b = 11.138 Å, c = 11.138 Å
α = 90.00°, β = 90.00°, γ = 90.00°
Space group Fm-3m (No. 225)
Unique sites:
Cs (0.250, 0.250, 0.250)
Er (0.000, 0.000, 0.000)
Ga (0.000, 0.000, 0.500)
Cl (0.000, 0.000, 0.235)

=====

Record 11
Here is CsErGe2Cl8 after structural relaxation from Alexandria via LeMat-Bulk. Energies are from PBE.

Values from the calculation:
uncorrected formation energy = -1735.1 kJ/mol of formula units
volume = 425.77 Å³ per cell
mass density = 2.8 g/cm3

a = 6.363 Å, b = 7.539 Å, c = 9.379 Å
α = 85.39°, β = 83.22°, γ = 72.57°
Space group P-1 (No. 2)
Unique sites:
Cs (0.000, 0.000, 0.000)
Er (0.000, 0.000, 0.500)
Ge (0.396, 0.341, 0.678)
Cl (0.039, 0.270, 0.656)
Cl (0.222, 0.748, 0.672)
Cl (0.352, 0.328, 0.921)
Cl (0.355, 0.998, 0.323)

=====

Record 12
Here is CsErGeCl6 after structural relaxation from Alexandria via LeMat-Bulk. Energies are from PBE.

Values from the calculation:
uncorrected formation energy = -1537.6 kJ/mol of formula units
volume = 327.90 Å³ per cell
mass density = 3.0 g/cm3

a = 7.0067 Å, b = 7.0067 Å, c = 7.7122 Å
α = 90.00°, β = 90.00°, γ = 120.00°
Space group P312 (No. 149)
Unique sites:
Cs (0.0000, 0.0000, 0.0000)
Er (0.6667, 0.3333, 0.5000)
Ge (0.3333, 0.6667, 0.5000)
Cl (0.3831, 0.0067, 0.6966)

=====

Record 13
Here is Cs2ErHCl6 after structural relaxation from Alexandria via LeMat-Bulk. Energies are from PBE.

Values from the calculation:
volume = 616.66 Å³ per cell
mass density = 3.5 g/cm3
E = -3.8690 eV per atom

a = 8.459 Å, b = 8.467 Å, c = 8.610 Å
α = 90.00°, β = 90.00°, γ = 90.00°
Space group Immm (No. 71)
Unique sites:
Cs (0.000, 0.000, 0.250)
Er (0.000, 0.500, 0.000)
H (0.000, 0.500, 0.500)
Cl (0.000, 0.500, 0.318)
Cl (0.216, 0.284, 0.000)

=====

Record 14
Here is CsErHg2Cl8 after structural relaxation from Alexandria via LeMat-Bulk. Energies are from PBE.

Values from the calculation:
uncorrected formation energy = -1590.0 kJ/mol of formula units
volume = 407.67 Å³ per cell
mass density = 4.0 g/cm3

a = 6.669 Å, b = 7.091 Å, c = 9.452 Å
α = 110.35°, β = 96.14°, γ = 99.00°
Space group P-1 (No. 2)
Unique sites:
Cs (0.000, 0.000, 0.000)
Er (0.000, 0.500, 0.500)
Hg (0.462, 0.307, 0.769)
Cl (0.127, 0.535, 0.255)
Cl (0.227, 0.851, 0.673)
Cl (0.308, 0.296, 0.525)
Cl (0.439, 0.734, 0.995)

=====

Record 15
Here is CsErHgCl6 after structural relaxation from Alexandria via LeMat-Bulk. Energies are from PBE.

Values from the calculation:
uncorrected formation energy = -1461.1 kJ/mol of formula units
volume = 329.52 Å³ per cell
mass density = 3.6 g/cm3

a = 7.0312 Å, b = 7.0312 Å, c = 7.6963 Å
α = 90.00°, β = 90.00°, γ = 120.00°
Space group P312 (No. 149)
Unique sites:
Cs (0.0000, 0.0000, 0.0000)
Er (0.6667, 0.3333, 0.5000)
Hg (0.3333, 0.6667, 0.5000)
Cl (0.3866, 0.0095, 0.2994)

=====

Record 16
Here is CsK2ErCl6 after structural relaxation from Alexandria via LeMat-Bulk. Energies are from PBE.

Values from the calculation:
uncorrected formation energy = -2056.1 kJ/mol of formula units
volume = 1105.26 Å³ per cell
mass density = 2.7 g/cm3

a = 7.8422 Å, b = 7.8422 Å, c = 20.7507 Å
α = 90.00°, β = 90.00°, γ = 120.00°
Space group R3 (No. 146, hexagonal axes)
Unique sites:
Cs (0.0000, 0.0000, 0.0000)
K (0.0000, 0.0000, 0.2805)
K (0.0000, 0.0000, 0.7957)
Er (0.0000, 0.0000, 0.4834)
Cl (0.0193, 0.2947, 0.5509)
Cl (0.0190, 0.7476, 0.4030)

=====

Record 17
Here is Cs2LiErCl6 after structural relaxation from Alexandria via LeMat-Bulk. Energies are from PBE.

Values from the calculation:
uncorrected formation energy = -2057.7 kJ/mol of formula units
volume = 1184.91 Å³ per cell
mass density = 3.7 g/cm3

a = 10.582 Å, b = 10.582 Å, c = 10.582 Å
α = 90.00°, β = 90.00°, γ = 90.00°
Space group Fm-3m (No. 225)
Unique sites:
Cs (0.250, 0.250, 0.250)
Li (0.000, 0.000, 0.000)
Er (0.000, 0.000, 0.500)
Cl (0.000, 0.000, 0.252)

=====

Record 18
Here is Cs2LiErCl6 after structural relaxation from Alexandria via LeMat-Bulk. Energies are from PBE.

Values from the calculation:
uncorrected formation energy = -2058.5 kJ/mol of formula units
volume = 1837.68 Å³ per cell
mass density = 3.5 g/cm3

a = 7.5321 Å, b = 7.5321 Å, c = 37.4032 Å
α = 90.00°, β = 90.00°, γ = 120.00°
Space group R-3m (No. 166, hexagonal axes)
Unique sites:
Cs (0.0000, 0.0000, 0.1279)
Cs (0.0000, 0.0000, 0.2898)
Li (0.0000, 0.0000, 0.0000)
Li (0.0000, 0.0000, 0.5000)
Er (0.0000, 0.0000, 0.4126)
Cl (0.0005, 0.5003, 0.7074)
Cl (0.0199, 0.5100, 0.1234)